Sc6Al16Rh7 | meta-GGA SCAN | PBEsol geometry

Cell: 8.661 8.661 8.661 Å, 60.00 60.00 60.00°
Sites, in units of the cell vectors:
Al  0.120  0.120  0.641
Al  0.120  0.641  0.120
Al  0.120  0.120  0.120
Al  0.641  0.120  0.120
Al  0.880  0.359  0.880
Al  0.880  0.880  0.359
Al  0.880  0.880  0.880
Al  0.359  0.880  0.880
Al  0.334  0.334  0.997
Al  0.334  0.997  0.334
Al  0.334  0.334  0.334
Al  0.997  0.334  0.334
Al  0.666  0.003  0.666
Al  0.666  0.666  0.003
Al  0.666  0.666  0.666
Al  0.003  0.666  0.666
Rh  0.000  0.000  0.000
Rh  0.500  0.000  0.500
Rh  0.000  0.500  0.000
Rh  0.000  0.000  0.500
Rh  0.500  0.500  0.000
Rh  0.000  0.500  0.500
Rh  0.500  0.000  0.000
Sc  0.704  0.296  0.704
Sc  0.296  0.704  0.296
Sc  0.296  0.296  0.704
Sc  0.704  0.704  0.296
Sc  0.296  0.704  0.704
Sc  0.704  0.296  0.296

## Properties
Space-group type: No. 225
Energy of formation in eV per atom: -0.98
VASP energy in eV per atom: -16.359
Calculated volume in Å³/atom: 15.8